[1]
! NaP2S4, relaxed, DFT PBE; values from VASP
! M_tot	0.00	μB per atom
! space-group type	No. 87
! total energy	-0.3092	Ry/atom
&SYSTEM
  ibrav = 0, nat = 7, ntyp = 3
/
ATOMIC_SPECIES
Na 22.99 Na.upf
P 30.97 P.upf
S 32.06 S.upf
ATOMIC_POSITIONS crystal
Na 0.5000 0.5000 0.0000
P 0.2500 0.7500 0.5000
P 0.7500 0.2500 0.5000
S 0.3321 0.1551 0.4872
S 0.8449 0.3321 0.1770
S 0.1551 0.6679 0.8230
S 0.6679 0.8449 0.5128
CELL_PARAMETERS angstrom
6.0890 -0.1855 0.0000
-3.0943 5.2474 0.0000
-1.4974 -2.5310 5.3350

[2]
! SrPd2Pb2, relaxed, DFT PBE; values from VASP
! energy of formation	-321	meV per atom
! M_tot	0.00	μB per atom
! space-group type	No. 2
! total energy	-0.3100	Ry/atom
&SYSTEM
  ibrav = 0, nat = 10, ntyp = 3
/
ATOMIC_SPECIES
Sr 87.62 Sr.upf
Pd 106.42 Pd.upf
Pb 207.20 Pb.upf
ATOMIC_POSITIONS crystal
Sr 0.8781 0.7500 0.2494
Sr 0.1219 0.2500 0.7506
Pd 0.5642 0.3754 0.2494
Pd 0.8112 0.8734 0.7480
Pd 0.1888 0.1266 0.2520
Pd 0.4358 0.6246 0.7506
Pb 0.4972 0.7483 0.0153
Pb 0.7392 0.2479 0.5148
Pb 0.5028 0.2517 0.9847
Pb 0.2608 0.7521 0.4852
CELL_PARAMETERS angstrom
5.7266 -0.0357 0.0056
2.8318 5.3844 -0.0188
2.8639 -0.0495 8.6736

[3]
! LiNiGePt, relaxed, DFT PBE; values from VASP
! energy of formation	-478	meV per atom
! M_tot	0.00	μB per atom
! space-group type	No. 119
! total energy	-0.3723	Ry/atom
&SYSTEM
  ibrav = 0, nat = 4, ntyp = 4
/
ATOMIC_SPECIES
Li 6.94 Li.upf
Ni 58.69 Ni.upf
Ge 72.64 Ge.upf
Pt 195.08 Pt.upf
ATOMIC_POSITIONS crystal
Li 0.0000 0.0000 0.0000
Ni 0.7500 0.2500 0.5000
Ge 0.5000 0.5000 0.0000
Pt 0.2500 0.7500 0.5000
CELL_PARAMETERS angstrom
4.3052 0.0000 0.0000
0.0000 4.3052 0.0000
-2.1526 -2.1526 2.7917

[4]
! Rb2PaFeS4, relaxed, DFT PBE; values from VASP
! M_tot	0.37	μB per atom
! space-group type	No. 82
! total energy	-0.4067	Ry/atom
&SYSTEM
  ibrav = 0, nat = 8, ntyp = 4
/
ATOMIC_SPECIES
Rb 85.47 Rb.upf
Pa 231.04 Pa.upf
Fe 55.84 Fe.upf
S 32.06 S.upf
ATOMIC_POSITIONS crystal
Rb 0.5000 0.7500 0.2500
Rb 0.0000 0.0000 0.0000
Pa 0.5000 0.2500 0.7500
Fe 0.0000 0.5000 0.5000
S 0.6117 0.3751 0.4639
S 0.0887 0.2366 0.6249
S 0.9113 0.5361 0.1478
S 0.3883 0.8522 0.7634
CELL_PARAMETERS angstrom
-4.6860 -5.2565 0.6630
6.2387 -1.5316 -2.9600
2.8520 2.6081 5.9239

[5]
! Sc8Sn2Sb, relaxed, DFT PBE; values from VASP
! M_tot	0.00	μB per atom
! space-group type	No. 12
! total energy	-0.4499	Ry/atom
&SYSTEM
  ibrav = 0, nat = 11, ntyp = 3
/
ATOMIC_SPECIES
Sc 44.96 Sc.upf
Sn 118.71 Sn.upf
Sb 121.76 Sb.upf
ATOMIC_POSITIONS crystal
Sc 0.4083 0.5122 0.8165
Sc 0.6582 0.0181 0.3164
Sc 0.7782 0.6670 0.5563
Sc 0.9785 0.2457 0.9569
Sc 0.2218 0.3330 0.4437
Sc 0.3418 0.9819 0.6836
Sc 0.5917 0.4878 0.1835
Sc 0.0216 0.7543 0.0431
Sn 0.8202 0.2377 0.6404
Sn 0.1798 0.7623 0.3596
Sb 0.5000 0.0000 0.0000
CELL_PARAMETERS angstrom
-4.4554 -1.4198 -0.2919
1.9486 -6.0448 -0.3409
1.2085 2.0418 9.2226

[6]
! BaLi3Pb3, relaxed, DFT PBE; values from VASP
! energy of formation	-271	meV per atom
! M_tot	0.00	μB per atom
! E above lowest polymorph	0.0	kJ per mole of atoms
! space-group type	No. 148
! total energy	-0.2172	Ry/atom
&SYSTEM
  ibrav = 0, nat = 14, ntyp = 3
/
ATOMIC_SPECIES
Ba 137.33 Ba.upf
Li 6.94 Li.upf
Pb 207.20 Pb.upf
ATOMIC_POSITIONS crystal
Ba 0.3185 0.3185 0.0444
Ba 0.6815 0.6815 0.9556
Li 0.1559 0.7264 0.1584
Li 0.9593 0.1559 0.1584
Li 0.7264 0.9593 0.1584
Li 0.2736 0.0407 0.8416
Li 0.0407 0.8441 0.8416
Li 0.8441 0.2736 0.8416
Pb 0.4309 0.8073 0.6059
Pb 0.8073 0.1559 0.6059
Pb 0.1559 0.4309 0.6059
Pb 0.8441 0.5691 0.3941
Pb 0.1927 0.8441 0.3941
Pb 0.5691 0.1927 0.3941
CELL_PARAMETERS angstrom
-7.1679 5.9438 -0.1257
-7.1324 -1.1819 5.8699
-2.3162 4.6185 5.5027

[7]
! Pr2Ge4Rh3, relaxed, DFT PBE; values from VASP
! energy of formation	-699	meV per atom
! M_tot	0.00	μB per atom
! space-group type	No. 69
! total energy	-0.4604	Ry/atom
&SYSTEM
  ibrav = 0, nat = 9, ntyp = 3
/
ATOMIC_SPECIES
Pr 140.91 Pr.upf
Ge 72.64 Ge.upf
Rh 102.91 Rh.upf
ATOMIC_POSITIONS crystal
Pr 0.6333 0.6333 0.2666
Pr 0.3667 0.3667 0.7334
Ge 0.0152 0.6719 0.6871
Ge 0.6719 0.0152 0.6871
Ge 0.9848 0.3281 0.3129
Ge 0.3281 0.9848 0.3129
Rh 0.5000 0.0000 0.0000
Rh 0.0000 0.0000 0.0000
Rh 0.0000 0.5000 0.0000
CELL_PARAMETERS angstrom
-4.2827 3.7459 0.2793
-0.5681 -5.2368 2.1691
4.5680 2.7858 4.2631

[8]
! KPdNO2, relaxed, DFT PBE; values from VASP
! M_tot	0.16	μB per atom
! space-group type	No. 123
! total energy	-0.3423	Ry/atom
&SYSTEM
  ibrav = 0, nat = 5, ntyp = 4
/
ATOMIC_SPECIES
K 39.10 K.upf
O 16.00 O.upf
Pd 106.42 Pd.upf
N 14.01 N.upf
ATOMIC_POSITIONS crystal
K 0.5000 0.5000 0.5000
O 0.0000 0.5000 0.0000
O 0.5000 0.0000 0.0000
Pd 0.0000 0.0000 0.0000
N 0.0000 0.0000 0.5000
CELL_PARAMETERS angstrom
-2.0361 3.7394 0.3790
-3.2587 -1.9711 1.9410
1.6458 0.5586 3.3304

[9]
! Sb2IrRu, relaxed, DFT PBE; values from VASP
! M_tot	0.00	μB per atom
! E above lowest polymorph	12.2	kJ per mole of atoms
! space-group type	No. 12
! total energy	-0.4734	Ry/atom
&SYSTEM
  ibrav = 0, nat = 4, ntyp = 3
/
ATOMIC_SPECIES
Ir 192.22 Ir.upf
Ru 101.07 Ru.upf
Sb 121.76 Sb.upf
ATOMIC_POSITIONS crystal
Ir 0.7500 0.7500 0.7500
Ru 0.2500 0.2500 0.2500
Sb 0.9981 0.9981 0.0044
Sb 0.5019 0.5019 0.4956
CELL_PARAMETERS angstrom
-2.3251 1.5473 3.5022
-1.2034 -1.4604 4.0601
4.0041 2.0910 3.2216

[10]
! K3IrPt, relaxed, DFT PBE; values from VASP
! energy of formation	921	meV per atom
! M_tot	0.40	μB per atom
! E above lowest polymorph	0.0	kJ per mole of atoms
! space-group type	No. 221
! total energy	-0.1998	Ry/atom
&SYSTEM
  ibrav = 0, nat = 5, ntyp = 3
/
ATOMIC_SPECIES
K 39.10 K.upf
Ir 192.22 Ir.upf
Pt 195.08 Pt.upf
ATOMIC_POSITIONS crystal
K 0.0000 0.5000 0.0000
K 0.0000 0.0000 0.5000
K 0.5000 0.0000 0.0000
Ir 0.5000 0.5000 0.5000
Pt 0.0000 0.0000 0.0000
CELL_PARAMETERS angstrom
-1.1875 -0.0383 5.9544
1.7423 -5.8081 0.3101
5.6939 1.7693 1.1469

[11]
! Pr3Er, relaxed, DFT PBE; values from VASP
! energy of formation	32	meV per atom
! M_tot	0.00	μB per atom
! E above lowest polymorph	1.8	kJ per mole of atoms
! space-group type	No. 44
! total energy	-0.3449	Ry/atom
&SYSTEM
  ibrav = 0, nat = 4, ntyp = 2
/
ATOMIC_SPECIES
Pr 140.91 Pr.upf
Er 167.26 Er.upf
ATOMIC_POSITIONS crystal
Pr 0.2530 0.5867 0.5060
Pr 0.5000 0.4988 0.0000
Pr 0.7470 0.0807 0.4940
Er 0.0000 0.0004 0.0000
CELL_PARAMETERS angstrom
-1.8612 -1.5236 2.8182
0.4378 -5.7034 -2.7943
5.8331 2.6142 2.8302

[12]
! BaCaTi4O12, relaxed, DFT PBE; values from VASP
! M_tot	0.22	μB per atom
! space-group type	No. 123
! total energy	-0.5707	Ry/atom
&SYSTEM
  ibrav = 0, nat = 18, ntyp = 4
/
ATOMIC_SPECIES
Ba 137.33 Ba.upf
Ca 40.08 Ca.upf
Ti 47.87 Ti.upf
O 16.00 O.upf
ATOMIC_POSITIONS crystal
Ba 0.5000 0.5000 0.0000
Ca 0.0000 0.0000 0.5000
Ti 0.0000 0.5000 0.7466
Ti 0.0000 0.5000 0.2534
Ti 0.5000 0.0000 0.7466
Ti 0.5000 0.0000 0.2534
O 0.2457 0.2457 0.7405
O 0.2457 0.2457 0.2595
O 0.7543 0.7543 0.7405
O 0.7543 0.7543 0.2595
O 0.7543 0.2457 0.7405
O 0.7543 0.2457 0.2595
O 0.2457 0.7543 0.7405
O 0.2457 0.7543 0.2595
O 0.0000 0.5000 0.5000
O 0.0000 0.5000 0.0000
O 0.5000 0.0000 0.5000
O 0.5000 0.0000 0.0000
CELL_PARAMETERS angstrom
-1.8854 -2.6100 4.5159
3.3922 -4.2612 -1.0466
5.5953 3.3981 4.3000

[13]
! Rb2DyZn2Se4, relaxed, DFT PBE; values from VASP
! M_tot	0.00	μB per atom
! space-group type	No. 12
! total energy	-0.2684	Ry/atom
&SYSTEM
  ibrav = 0, nat = 9, ntyp = 4
/
ATOMIC_SPECIES
Rb 85.47 Rb.upf
Dy 162.50 Dy.upf
Zn 65.41 Zn.upf
Se 78.96 Se.upf
ATOMIC_POSITIONS crystal
Rb 0.1291 0.5599 0.2581
Rb 0.8709 0.4401 0.7419
Dy 0.0000 0.0000 0.0000
Zn 0.6846 0.0077 0.3692
Zn 0.3154 0.9923 0.6308
Se 0.1895 0.1957 0.3790
Se 0.8105 0.8043 0.6210
Se 0.5303 0.7843 0.0606
Se 0.4697 0.2157 0.9394
CELL_PARAMETERS angstrom
-3.4722 -1.3649 -1.7378
2.3684 -7.8985 1.4716
-2.5884 3.8352 7.0334

[14]
! BaPa2PN2, relaxed, DFT PBE; values from VASP
! M_tot	0.00	μB per atom
! space-group type	No. 164
! total energy	-0.6197	Ry/atom
&SYSTEM
  ibrav = 0, nat = 6, ntyp = 4
/
ATOMIC_SPECIES
Ba 137.33 Ba.upf
Pa 231.04 Pa.upf
P 30.97 P.upf
N 14.01 N.upf
ATOMIC_POSITIONS crystal
Ba 0.0000 0.0000 0.0000
Pa 0.3333 0.6667 0.6817
Pa 0.6667 0.3333 0.3183
P 0.0000 0.0000 0.5000
N 0.3333 0.6667 0.2212
N 0.6667 0.3333 0.7788
CELL_PARAMETERS angstrom
3.7309 0.0000 0.0000
-1.8654 3.2310 0.0000
0.0000 0.0000 9.8734

[15]
! PaBi4Pb, relaxed, DFT PBE; values from VASP
! energy of formation	89	meV per atom
! M_tot	0.00	μB per atom
! space-group type	No. 65
! total energy	-0.3454	Ry/atom
&SYSTEM
  ibrav = 0, nat = 6, ntyp = 3
/
ATOMIC_SPECIES
Pa 231.04 Pa.upf
Bi 208.98 Bi.upf
Pb 207.20 Pb.upf
ATOMIC_POSITIONS crystal
Pa 0.0012 0.9974 0.4981
Bi 0.5012 0.9973 0.2658
Bi 0.5013 0.9971 0.7305
Bi 0.0013 0.4975 0.7305
Bi 0.0014 0.4973 0.2658
Pb 0.5013 0.4972 0.9981
CELL_PARAMETERS angstrom
5.7039 -0.0040 -0.0019
-0.0042 5.7040 -0.0028
0.0006 0.0003 6.7490

[16]
! Mg8Ag, relaxed, DFT PBE; values from VASP
! energy of formation	-12	meV per atom
! M_tot	0.00	μB per atom
! E above lowest polymorph	1.4	kJ per mole of atoms
! space-group type	No. 139
! total energy	-0.1283	Ry/atom
&SYSTEM
  ibrav = 0, nat = 9, ntyp = 2
/
ATOMIC_SPECIES
Mg 24.30 Mg.upf
Ag 107.87 Ag.upf
ATOMIC_POSITIONS crystal
Mg 0.3349 0.0000 0.3349
Mg 0.6651 0.0000 0.6651
Mg 0.0000 0.6651 0.6651
Mg 0.3427 0.6573 0.0000
Mg 0.6573 0.6573 0.3146
Mg 0.0000 0.3349 0.3349
Mg 0.3427 0.3427 0.6854
Mg 0.6573 0.3427 0.0000
Ag 0.0000 0.0000 0.0000
CELL_PARAMETERS angstrom
-5.5713 5.5713 1.5994
5.5713 -5.5713 1.5994
5.5713 5.5713 -1.5994

[17]
! GeIrRh, relaxed, DFT PBE; values from VASP
! energy of formation	-200	meV per atom
! M_tot	0.00	μB per atom
! E above lowest polymorph	0.0	kJ per mole of atoms
! space-group type	No. 216
! total energy	-0.5250	Ry/atom
&SYSTEM
  ibrav = 0, nat = 3, ntyp = 3
/
ATOMIC_SPECIES
Ge 72.64 Ge.upf
Ir 192.22 Ir.upf
Rh 102.91 Rh.upf
ATOMIC_POSITIONS crystal
Ge 0.2500 0.2500 0.2500
Ir 0.0000 0.0000 0.0000
Rh 0.5000 0.5000 0.5000
CELL_PARAMETERS angstrom
4.0844 0.0000 0.0000
2.0422 3.5372 0.0000
2.0422 1.1791 3.3349

[18]
! InGe2Bi2Pt7, relaxed, DFT PBE; values from VASP
! energy of formation	-339	meV per atom
! M_tot	0.00	μB per atom
! space-group type	No. 12
! total energy	-0.4048	Ry/atom
&SYSTEM
  ibrav = 0, nat = 12, ntyp = 4
/
ATOMIC_SPECIES
In 114.82 In.upf
Ge 72.64 Ge.upf
Bi 208.98 Bi.upf
Pt 195.08 Pt.upf
ATOMIC_POSITIONS crystal
In 0.0000 0.0000 0.0000
Ge 0.6164 0.6164 0.7646
Ge 0.3836 0.3836 0.2354
Bi 0.7893 0.7893 0.4217
Bi 0.2107 0.2107 0.5783
Pt 0.5000 0.5000 0.0000
Pt 0.3035 0.3035 0.3932
Pt 0.6965 0.6965 0.6068
Pt 0.9321 0.4320 0.1369
Pt 0.4320 0.9321 0.1369
Pt 0.5680 0.0679 0.8631
Pt 0.0679 0.5680 0.8631
CELL_PARAMETERS angstrom
-3.9889 -0.1398 0.0175
0.1258 -3.8062 -1.1952
-1.6890 -6.5875 14.1852

[19]
! Pr2Sn3Rh4, relaxed, DFT PBE; values from VASP
! energy of formation	-732	meV per atom
! M_tot	0.00	μB per atom
! space-group type	No. 64
! total energy	-0.4701	Ry/atom
&SYSTEM
  ibrav = 0, nat = 18, ntyp = 3
/
ATOMIC_SPECIES
Pr 140.91 Pr.upf
Sn 118.71 Sn.upf
Rh 102.91 Rh.upf
ATOMIC_POSITIONS crystal
Pr 0.1041 0.5793 0.2081
Pr 0.8959 0.4207 0.7919
Pr 0.3959 0.0793 0.7919
Pr 0.6041 0.9207 0.2081
Sn 0.0000 0.0000 0.0000
Sn 0.5000 0.5000 0.0000
Sn 0.5153 0.7500 0.5305
Sn 0.9847 0.2500 0.4695
Sn 0.4847 0.2500 0.4695
Sn 0.0153 0.7500 0.5305
Rh 0.6790 0.7500 0.8579
Rh 0.8210 0.2500 0.1421
Rh 0.3210 0.2500 0.1421
Rh 0.1790 0.7500 0.8579
Rh 0.1721 0.9780 0.3442
Rh 0.8279 0.0220 0.6558
Rh 0.3279 0.4780 0.6558
Rh 0.6721 0.5220 0.3442
CELL_PARAMETERS angstrom
6.0903 0.0000 0.0000
0.0000 7.4664 0.0000
-3.0452 0.0000 8.1978

[20]
! LaPmSm2Dy, relaxed, DFT PBE; values from VASP
! energy of formation	271	meV per atom
! M_tot	0.00	μB per atom
! space-group type	No. 13
! total energy	-0.3287	Ry/atom
&SYSTEM
  ibrav = 0, nat = 10, ntyp = 4
/
ATOMIC_SPECIES
La 138.91 La.upf
Pm 145.00 Pm.upf
Sm 150.36 Sm.upf
Dy 162.50 Dy.upf
ATOMIC_POSITIONS crystal
La 0.0000 0.0000 0.0000
La 0.0000 0.0000 0.5000
Pm 0.5613 0.0000 0.2500
Pm 0.4387 0.0000 0.7500
Sm 0.6864 0.6865 0.7859
Sm 0.6864 0.3135 0.7141
Sm 0.3136 0.6865 0.2859
Sm 0.3136 0.3135 0.2141
Dy 0.1666 0.5000 0.7500
Dy 0.8334 0.5000 0.2500
CELL_PARAMETERS angstrom
-0.9031 -1.6386 -6.2846
8.4658 -0.0996 -1.1906
-0.5478 -6.0700 1.6613

[21]
! AlFeHg2, relaxed, DFT PBE; values from VASP
! energy of formation	158	meV per atom
! M_tot	0.36	μB per atom
! space-group type	No. 71
! total energy	-0.2238	Ry/atom
&SYSTEM
  ibrav = 0, nat = 4, ntyp = 3
/
ATOMIC_SPECIES
Al 26.98 Al.upf
Hg 200.59 Hg.upf
Fe 55.84 Fe.upf
ATOMIC_POSITIONS crystal
Al 0.7500 0.2500 0.5000
Hg 0.0769 0.0769 0.0000
Hg 0.4231 0.4231 0.0000
Fe 0.2500 0.7500 0.5000
CELL_PARAMETERS angstrom
-4.7981 -2.6617 4.8347
-6.4808 -3.3805 0.2299
7.0101 1.1048 -1.7661

[22]
! ZrGe2Te6, relaxed, DFT PBE; values from VASP
! M_tot	0.00	μB per atom
! space-group type	No. 146
! total energy	-0.3114	Ry/atom
&SYSTEM
  ibrav = 0, nat = 9, ntyp = 3
/
ATOMIC_SPECIES
Zr 91.22 Zr.upf
Ge 72.64 Ge.upf
Te 127.60 Te.upf
ATOMIC_POSITIONS crystal
Zr 0.3317 0.3317 0.0049
Ge 0.7226 0.7226 0.8321
Ge 0.6127 0.6127 0.1618
Te 0.7483 0.3856 0.7383
Te 0.1278 0.7483 0.7383
Te 0.3856 0.1278 0.7383
Te 0.2116 0.5772 0.2631
Te 0.9482 0.2116 0.2631
Te 0.5772 0.9482 0.2631
CELL_PARAMETERS angstrom
-4.1386 4.1273 -3.5392
-5.7608 2.3217 2.8481
0.4312 8.1606 2.4164

[23]
! IrRu2Au, relaxed, DFT PBE; values from VASP
! energy of formation	235	meV per atom
! M_tot	0.00	μB per atom
! E above lowest polymorph	2.0	kJ per mole of atoms
! space-group type	No. 166
! total energy	-0.5467	Ry/atom
&SYSTEM
  ibrav = 0, nat = 4, ntyp = 3
/
ATOMIC_SPECIES
Au 196.97 Au.upf
Ir 192.22 Ir.upf
Ru 101.07 Ru.upf
ATOMIC_POSITIONS crystal
Au 0.2500 0.2500 0.2500
Ir 0.7500 0.7500 0.7500
Ru 0.0048 0.0048 0.0048
Ru 0.4952 0.4952 0.4952
CELL_PARAMETERS angstrom
-3.0796 8.4640 2.3398
-4.7102 8.0241 0.1604
-5.4403 7.0722 2.6429

[24]
! Pm3Ho8Er3, relaxed, DFT PBE; values from VASP
! energy of formation	110	meV per atom
! M_tot	0.00	μB per atom
! space-group type	No. 71
! total energy	-0.3309	Ry/atom
&SYSTEM
  ibrav = 0, nat = 14, ntyp = 3
/
ATOMIC_SPECIES
Pm 145.00 Pm.upf
Ho 164.93 Ho.upf
Er 167.26 Er.upf
ATOMIC_POSITIONS crystal
Pm 0.5000 0.0000 0.0000
Pm 0.0000 0.8177 0.1823
Pm 0.0000 0.1823 0.8177
Ho 0.6598 0.1190 0.5609
Ho 0.3402 0.8810 0.4391
Ho 0.6598 0.5609 0.1190
Ho 0.3402 0.4391 0.8810
Ho 0.8422 0.7606 0.5551
Ho 0.1578 0.2394 0.4449
Ho 0.8422 0.5551 0.7606
Ho 0.1578 0.4449 0.2394
Er 0.5000 0.5000 0.5000
Er 0.7956 0.2044 0.2044
Er 0.2044 0.7956 0.7956
CELL_PARAMETERS angstrom
-2.5750 -0.3185 4.9799
-2.5043 -9.1942 1.2800
6.7665 1.1431 6.7348